# 1
ScOs: optimized geometry, GGA-PBE.

The structure in extended XYZ format:
```
8
Lattice="-4.017 4.017 4.017 4.017 -4.017 4.017 4.017 4.017 -4.017" Properties=species:S:1:pos:R:3 pbc="T T T"
Sc 2.414 2.414 -2.414
Sc 2.414 -2.414 2.414
Sc 1.603 1.603 1.603
Sc -2.414 2.414 2.414
Os 0.931 0.931 -0.931
Os 0.931 -0.931 0.931
Os -0.931 0.931 0.931
Os 3.086 3.086 3.086
```

## Properties
Crystal system = cubic
Energy relative to the elements = 1.198 eV per atom
Symmetry = No. 217

=====

# 2
Na2TlPCO7: optimized geometry, GGA-PBE.

The structure in extended XYZ format:
```
24
Lattice="5.329 0.000 0.000 0.000 6.944 0.000 -0.223 0.000 9.324" Properties=species:S:1:pos:R:3 pbc="T T T"
Na 1.186 0.010 2.696
Na 1.186 3.462 2.696
Na 3.921 3.483 6.628
Na 3.921 6.934 6.628
Tl 1.008 1.736 8.145
Tl 4.098 5.208 1.179
P 1.251 5.208 8.552
P 3.856 1.736 0.772
C 1.283 1.736 5.399
C 3.823 5.208 3.925
O 0.084 1.736 5.916
O 0.706 3.971 7.800
O 0.706 6.446 7.800
O 1.030 5.208 0.727
O 1.517 1.736 4.158
O 2.274 1.736 0.795
O 2.298 1.736 6.275
O 2.808 5.208 3.049
O 2.833 5.208 8.529
O 3.590 5.208 5.167
O 4.076 1.736 8.597
O 4.400 0.498 1.524
O 4.400 2.974 1.524
O 5.023 5.208 3.408
```

## Properties
Crystal system = monoclinic
Energy relative to the elements, uncorrected = -1.709 eV/atom
Symmetry = No. 11

=====

# 3
PrMnIn: optimized geometry, GGA-PBE.

The structure in extended XYZ format:
```
3
Lattice="4.821 0.000 0.000 -2.411 4.175 0.000 0.000 0.000 3.806" Properties=species:S:1:pos:R:3 pbc="T T T"
Pr 0.000 0.000 0.000
Mn 0.000 2.784 1.903
In 2.411 1.392 1.903
```

## Properties
Crystal system = hexagonal
Energy relative to the elements = -0.071 eV per atom
Symmetry = No. 187

=====

The records above give, respectively, magnetic moment values of 4.0 0.1 3.4 Bohr magnetons per cell.
The records above give, respectively, volume values of 32.4 14.4 25.5 Å³/atom.
The records above give, respectively, calculated total energy values of -15.16 -74.85 -16.90 eV per formula unit.